LiTiTl | Alexandria via LeMat-Bulk | PBE | optimized geometry; symmetry = Cmcm (63); calculated formation energy = -0.011 eV/atom
1.0
1.5692 -7.7961 0.0000
1.5692 7.7961 0.0000
0.0000 0.0000 4.7293
Li Ti Tl
2 2 2
direct
0.2267 0.7733 0.7500
0.7733 0.2267 0.2500
0.4472 0.5528 0.2500
0.5528 0.4472 0.7500
0.1181 0.8819 0.2500
0.8819 0.1181 0.7500